Entry from Alexandria via LeMat-Bulk: GaTePtN2 after structural relaxation (GGA-PBEsol).

a b c (Å): 3.7630 3.7630 7.8531
angles (deg): 90.00 90.00 90.00
Atoms (fractional coordinates):
Ga: 0.0000 0.0000 0.0000
Te: 0.5000 0.5000 0.0000
Pt: 0.5000 0.5000 0.5000
N: 0.0000 0.5000 0.5000
N: 0.5000 0.0000 0.5000

Computed properties:
- SG = P4/mmm, No. 123
- ΔE_f (raw) (eV per atom) = 0.977
- VASP energy (eV/atom) = -5.20
- ρ (g/cm3) = 6.28

=====

Entry from Alexandria via LeMat-Bulk: CdHg2BTe after structural relaxation (GGA-PBEsol).

a b c (Å): 5.6450 5.6450 5.6119
angles (deg): 90.00 90.00 90.00
Atoms (fractional coordinates):
Cd: 0.0000 0.0000 0.0000
Hg: 0.0000 0.5000 0.5000
Hg: 0.5000 0.0000 0.5000
B: 0.5000 0.5000 0.0000
Te: 0.0000 0.0000 0.5000

Computed properties:
- SG = P4/mmm, No. 123
- ΔE_f (raw) (eV per atom) = 1.462
- VASP energy (eV/atom) = -1.11
- ρ (g/cm3) = 6.05

=====

Entry from Alexandria via LeMat-Bulk: LiCo2Re after structural relaxation (GGA-PBEsol).

a b c (Å): 2.5873 3.4121 5.1713
angles (deg): 90.00 90.00 90.00
Atoms (fractional coordinates):
Li: 0.0000 0.0000 0.0000
Co: 0.5000 0.5000 0.2492
Co: 0.5000 0.5000 0.7508
Re: 0.0000 0.0000 0.5000

Computed properties:
- SG = Pmmm, No. 47
- VASP energy (eV/atom) = -7.49
- energy of formation (eV/f.u.) = 0.79
- ρ (g/cm3) = 11.31